Density functional theory data (PBE+U) for a relaxed LiNdMo2O8 crystal.

```
LiNdMo2O8
1.0
6.056 0.000 0.000
0.000 5.086 0.016
0.000 4.104 10.317
O Mo Nd Li
16 4 2 2
direct
0.362 0.782 0.142
0.635 0.299 0.094
0.107 0.867 0.594
0.075 0.369 0.118
0.365 0.299 0.594
0.925 0.369 0.618
0.638 0.782 0.642
0.365 0.701 0.906
0.075 0.631 0.382
0.893 0.133 0.406
0.893 0.867 0.094
0.107 0.133 0.906
0.635 0.701 0.406
0.925 0.631 0.882
0.638 0.218 0.858
0.362 0.218 0.358
0.821 0.733 0.526
0.179 0.267 0.474
0.821 0.267 0.974
0.179 0.733 0.026
0.293 0.500 0.750
0.707 0.500 0.250
0.216 0.000 0.250
0.784 0.000 0.750
```

Electronic total energy: -171.8 eV per cell
Total moment: 0.00 μB/cell